Entry 1:
Here is a PBEsol-optimized structure of AsRuW2 from the Alexandria database. Energies are from meta-GGA SCAN.

Cell: 3.680 3.680 4.411 Å, 90.00 90.00 90.00°
Fractional positions:
Ru1 0.000 0.000 0.500
As1 0.500 0.500 0.500
W1 0.000 0.500 0.000
W2 0.500 0.000 0.000

Results
As for the density of states at the Fermi level: 3.17 states/eV per cell. The energy relative to the elements comes out at 0.41 eV/atom. As for the magnetic moment: 0.00 μB per cell.

Entry 2:
Here is a PBEsol-optimized structure of MnZn2Os from the Alexandria database. Energies are from meta-GGA SCAN.

Cell: 3.274 4.049 4.773 Å, 115.10 110.06 90.00°
Fractional positions:
Mn1 0.500 0.000 0.000
Os1 0.000 0.500 0.000
Zn1 0.754 0.754 0.508
Zn2 0.246 0.246 0.492

Results
The excess energy over the best structure of this formula in the dataset comes out at 0.000 eV/atom. As for the density of states at the Fermi level: 1.22 states/eV per cell. The energy relative to the elements comes out at -0.09 eV/atom. As for the magnetic moment: 3.77 μB per cell.

Entry 3:
Here is a PBEsol-optimized structure of LaCd2Br from the Alexandria database. Energies are from meta-GGA SCAN.

Cell: 3.478 3.478 9.499 Å, 90.00 90.00 110.67°
Fractional positions:
Cd1 0.000 0.000 0.227
Cd2 0.000 0.000 0.773
Br1 0.500 0.500 0.000
La1 0.500 0.500 0.500

Results
The excess energy over the best structure of this formula in the dataset comes out at 0.191 eV/atom. As for the density of states at the Fermi level: 1.92 states/eV per cell. The raw formation energy comes out at -0.39 eV per atom. As for the magnetic moment: 0.00 μB per cell.

Entry 4:
Here is a PBEsol-optimized structure of Li2ZrSn from the Alexandria database. Energies are from meta-GGA SCAN.

Cell: 4.037 4.037 10.958 Å, 100.62 100.62 90.00°
Fractional positions:
Sn1 0.250 0.750 0.500
Sn2 0.000 0.000 0.000
Zr1 0.750 0.250 0.500
Zr2 0.500 0.500 0.000
Li1 0.354 0.875 0.250
Li2 0.896 0.375 0.250
Li3 0.125 0.104 0.750
Li4 0.625 0.646 0.750

Results
As for the density of states at the Fermi level: 3.74 states/eV per cell. The energy relative to the elements comes out at -0.10 eV/atom. As for the magnetic moment: 1.39 μB per cell.

Entry 5:
Here is a PBEsol-optimized structure of POsRu2 from the Alexandria database. Energies are from meta-GGA SCAN.

Cell: 2.743 2.743 8.267 Å, 90.00 90.00 119.34°
Fractional positions:
Os1 0.000 0.000 0.475
P1 0.500 0.500 0.247
Ru1 0.000 0.000 0.026
Ru2 0.500 0.500 0.751

Results
As for the density of states at the Fermi level: 3.49 states/eV per cell. The energy relative to the elements comes out at 0.48 eV/atom. As for the magnetic moment: 1.22 μB per cell.

Entry 6:
Here is a PBEsol-optimized structure of Rb2ZrSbC from the Alexandria database. Energies are from meta-GGA SCAN.

Cell: 3.915 6.984 6.984 Å, 90.00 90.00 90.00°
Fractional positions:
Sb1 0.500 0.500 0.500
C1 0.500 0.000 0.000
Rb1 0.000 0.000 0.500
Rb2 0.000 0.500 0.000
Zr1 0.000 0.000 0.000

Results
As for the density of states at the Fermi level: 3.45 states/eV per cell. The raw formation energy comes out at 0.95 eV per atom. As for the magnetic moment: 0.33 μB per cell.

Entry 7:
Here is a PBEsol-optimized structure of LiTaZn3 from the Alexandria database. Energies are from meta-GGA SCAN.

Cell: 5.002 5.002 5.002 Å, 90.00 90.00 90.00°
Fractional positions:
Zn1 0.000 0.500 0.000
Zn2 0.000 0.000 0.500
Zn3 0.500 0.000 0.000
Li1 0.500 0.500 0.500
Ta1 0.000 0.000 0.000

Results
As for the density of states at the Fermi level: 5.77 states/eV per cell. The energy relative to the elements comes out at 0.92 eV/atom. As for the magnetic moment: 1.36 μB per cell.

Entry 8:
Here is a PBEsol-optimized structure of Na2ZnMoPt from the Alexandria database. Energies are from meta-GGA SCAN.

Cell: 4.648 4.648 4.912 Å, 90.00 90.00 90.00°
Fractional positions:
Na1 0.000 0.500 0.000
Na2 0.500 0.000 0.000
Mo1 0.000 0.000 0.500
Zn1 0.000 0.000 0.000
Pt1 0.500 0.500 0.500

Results
As for the density of states at the Fermi level: 2.55 states/eV per cell. The energy relative to the elements comes out at 1.11 eV/atom. As for the magnetic moment: 3.77 μB per cell.

Entry 9:
Here is a PBEsol-optimized structure of Fe2CoNi from the Alexandria database. Energies are from meta-GGA SCAN.

Cell: 2.412 3.944 4.637 Å, 90.00 100.34 90.00°
Fractional positions:
Ni1 0.509 0.000 0.492
Co1 0.233 0.500 0.759
Fe1 0.992 0.000 0.992
Fe2 0.767 0.500 0.257

Results
The excess energy over the best structure of this formula in the dataset comes out at 0.030 eV/atom. As for the density of states at the Fermi level: 3.04 states/eV per cell. The energy relative to the elements comes out at -0.08 eV/atom. As for the magnetic moment: 8.05 μB per cell.

Entry 10:
Here is a PBEsol-optimized structure of Tl2SiSb from the Alexandria database. Energies are from meta-GGA SCAN.

Cell: 3.123 5.286 6.076 Å, 90.00 91.93 90.00°
Fractional positions:
Sb1 0.500 0.500 0.000
Si1 0.500 0.500 0.500
Tl1 0.801 0.000 0.740
Tl2 0.199 0.000 0.260

Results
The excess energy over the best structure of this formula in the dataset comes out at 0.149 eV/atom. As for the density of states at the Fermi level: 2.19 states/eV per cell. The raw formation energy comes out at 0.43 eV per atom. As for the magnetic moment: 0.00 μB per cell.

Entry 11:
Here is a PBEsol-optimized structure of SrGePO2 from the Alexandria database. Energies are from meta-GGA SCAN.

Cell: 4.015 4.015 4.648 Å, 90.00 90.00 90.00°
Fractional positions:
Sr1 0.500 0.500 0.500
Ge1 0.000 0.000 0.000
O1 0.000 0.500 0.000
O2 0.500 0.000 0.000
P1 0.000 0.000 0.500

Results
As for the density of states at the Fermi level: 2.82 states/eV per cell. The raw formation energy comes out at -1.02 eV per atom. As for the magnetic moment: 0.00 μB per cell.

Entry 12:
Here is a PBEsol-optimized structure of BeCoRe2F from the Alexandria database. Energies are from meta-GGA SCAN.

Cell: 3.940 4.024 4.024 Å, 90.00 90.00 90.00°
Fractional positions:
Re1 0.000 0.000 0.500
Re2 0.000 0.500 0.000
Co1 0.500 0.000 0.000
Be1 0.500 0.500 0.500
F1 0.000 0.000 0.000

Results
As for the density of states at the Fermi level: 4.29 states/eV per cell. The raw formation energy comes out at 1.26 eV per atom. As for the magnetic moment: 3.25 μB per cell.

Entry 13:
Here is a PBEsol-optimized structure of KP2BrCl from the Alexandria database. Energies are from meta-GGA SCAN.

Cell: 4.739 4.739 6.980 Å, 90.00 90.00 90.00°
Fractional positions:
P1 0.000 0.500 0.000
P2 0.500 0.000 0.000
K1 0.500 0.500 0.500
Br1 0.000 0.000 0.000
Cl1 0.000 0.000 0.500

Results
As for the density of states at the Fermi level: 3.73 states/eV per cell. The raw formation energy comes out at 0.38 eV per atom. As for the magnetic moment: 0.00 μB per cell.

Entry 14:
Here is a PBEsol-optimized structure of BPIr2 from the Alexandria database. Energies are from meta-GGA SCAN.

Cell: 4.042 4.042 4.042 Å, 60.00 60.00 60.00°
Fractional positions:
P1 0.500 0.500 0.500
B1 0.000 0.000 0.000
Ir1 0.250 0.250 0.250
Ir2 0.750 0.750 0.750

Results
As for the density of states at the Fermi level: 2.15 states/eV per cell. The energy relative to the elements comes out at 0.39 eV/atom. As for the magnetic moment: 1.07 μB per cell.

Entry 15:
Here is a PBEsol-optimized structure of Zr2Si from the Alexandria database. Energies are from meta-GGA SCAN.

Cell: 4.459 4.459 4.459 Å, 60.00 60.00 60.00°
Fractional positions:
Si1 0.000 0.000 0.000
Zr1 0.250 0.250 0.250
Zr2 0.750 0.750 0.750

Results
As for the density of states at the Fermi level: 2.83 states/eV per cell. The raw formation energy comes out at -0.43 eV per atom. As for the magnetic moment: 0.00 μB per cell.

Entry 16:
Here is a PBEsol-optimized structure of Be2AlRu2 from the Alexandria database. Energies are from meta-GGA SCAN.

Cell: 2.987 6.015 6.015 Å, 90.00 90.00 90.00°
Fractional positions:
Ru1 0.500 0.175 0.675
Ru2 0.500 0.675 0.825
Ru3 0.500 0.825 0.325
Ru4 0.500 0.325 0.175
Al1 0.000 0.000 0.000
Al2 0.000 0.500 0.500
Be1 0.000 0.380 0.880
Be2 0.000 0.880 0.620
Be3 0.000 0.620 0.120
Be4 0.000 0.120 0.380

Results
The excess energy over the best structure of this formula in the dataset comes out at 0.000 eV/atom. As for the density of states at the Fermi level: 4.84 states/eV per cell. The energy relative to the elements comes out at -0.72 eV/atom. As for the magnetic moment: 0.00 μB per cell.

Entry 17:
Here is a PBEsol-optimized structure of MgZn2Ni from the Alexandria database. Energies are from meta-GGA SCAN.

Cell: 4.242 4.242 4.242 Å, 60.00 60.00 60.00°
Fractional positions:
Ni1 0.750 0.750 0.750
Zn1 0.000 0.000 0.000
Zn2 0.250 0.250 0.250
Mg1 0.500 0.500 0.500

Results
As for the density of states at the Fermi level: 1.36 states/eV per cell. The energy relative to the elements comes out at -0.14 eV/atom. As for the magnetic moment: 0.00 μB per cell.

Entry 18:
Here is a PBEsol-optimized structure of Ir3Se from the Alexandria database. Energies are from meta-GGA SCAN.

Cell: 2.844 4.591 5.315 Å, 115.59 105.52 90.00°
Fractional positions:
Ir1 0.779 0.821 0.559
Ir2 0.221 0.262 0.441
Ir3 0.500 0.760 0.000
Se1 0.000 0.323 0.000

Results
The excess energy over the best structure of this formula in the dataset comes out at 0.000 eV/atom. As for the density of states at the Fermi level: 2.87 states/eV per cell. The raw formation energy comes out at 0.37 eV per atom. As for the magnetic moment: 0.00 μB per cell.

Entry 19:
Here is a PBEsol-optimized structure of InHg2 from the Alexandria database. Energies are from meta-GGA SCAN.

Cell: 4.812 4.812 4.812 Å, 60.00 60.00 60.00°
Fractional positions:
Hg1 0.250 0.250 0.250
Hg2 0.750 0.750 0.750
In1 0.000 0.000 0.000

Results
As for the density of states at the Fermi level: 1.09 states/eV per cell. The energy relative to the elements comes out at 0.03 eV/atom. As for the magnetic moment: 0.03 μB per cell.

Entry 20:
Here is a PBEsol-optimized structure of YMoCl from the Alexandria database. Energies are from meta-GGA SCAN.

Cell: 4.478 4.478 4.478 Å, 60.00 60.00 60.00°
Fractional positions:
Y1 0.000 0.000 0.000
Mo1 0.250 0.250 0.250
Cl1 0.500 0.500 0.500

Results
As for the density of states at the Fermi level: 2.17 states/eV per cell. The raw formation energy comes out at 0.93 eV per atom. As for the magnetic moment: 2.39 μB per cell.